# 1
A plane-wave DFT calculation with PBE-GGA was carried out for crystalline TlSiSN2 at its relaxed geometry.

Cell: 3.745 5.798 3.745 Å, 90.00 90.00 90.00°
Site moments in Bohr magnetons follow the coordinates.
Positions (direct):
Si 0.500 0.500 0.500  -0.03
N 0.500 0.000 0.000  0.14
Tl 0.000 0.500 0.000  0.00
N 0.000 0.000 0.500  0.16
S 0.000 0.000 0.000  -0.02

Calculated values
ρ, g/cm3: 6.0
Offset from the most stable computed form, eV/atom: 1.2811
Uncorrected formation energy, eV per atom: 1.81

# 2
A plane-wave DFT calculation with PBE-GGA was carried out for crystalline CdSiRh2 at its relaxed geometry.

Cell: 7.511 7.511 2.886 Å, 90.01 90.01 22.25°
Positions (direct):
Rh 0.030 0.030 0.875
Cd 0.195 0.195 0.375
Si 0.436 0.436 0.375
Rh 0.839 0.839 0.875

Calculated values
ρ, g/cm3: 9.3
Uncorrected formation energy, eV per atom: -0.54

# 3
A plane-wave DFT calculation with PBE-GGA was carried out for crystalline ReSbP2 at its relaxed geometry.

Cell: 3.201 4.922 4.259 Å, 90.00 90.00 90.00°
Positions (direct):
P 0.000 0.000 0.000
Re 0.500 0.000 0.500
Sb 0.000 0.500 0.500
P 0.500 0.500 0.000

Calculated values
ρ, g/cm3: 9.2
Uncorrected formation energy, eV per atom: 0.86

# 4
A plane-wave DFT calculation with PBE-GGA was carried out for crystalline ScZnOs2 at its relaxed geometry.

Cell: 4.365 2.865 5.100 Å, 77.21 90.00 90.00°
Positions (direct):
Sc 0.000 0.473 0.534
Os 0.000 0.886 0.030
Zn 0.500 0.902 0.734
Os 0.500 0.239 0.202

Calculated values
ρ, g/cm3: 13.1
Formation enthalpy at 0 K, kcal/mol of atoms: -0.9

# 5
A plane-wave DFT calculation with PBE-GGA was carried out for crystalline Pr2Ag at its relaxed geometry.

Cell: 3.782 3.782 6.924 Å, 105.86 105.86 89.99°
Site moments in Bohr magnetons follow the coordinates.
Positions (direct):
Pr 0.853 0.853 0.705  0.12
Pr 0.147 0.147 0.295  0.12
Ag 0.500 0.500 0.000  0.01

Calculated values
ρ, g/cm3: 7.1
Formation enthalpy at 0 K, kcal/mol of atoms: -3.2